FeTeAs | Alexandria via LeMat-Bulk | PBE | relaxed; energy relative to the elements, uncorrected = 0.103 eV per atom; symmetry = F-43m
1.0
-4.1828 0.5944 -0.6956
-1.5380 -0.0771 -3.9952
-2.4417 -3.2717 -1.2914
Te As Fe
1 1 1
Direct
0.0000 0.0000 0.0000
0.5000 0.5000 0.5000
0.7500 0.7500 0.7500

Fe2TeAs | Alexandria via LeMat-Bulk | PBE | relaxed; distance to the lowest polymorph of the same formula = 308 meV per atom; energy relative to the elements, uncorrected = 0.299 eV per atom; symmetry = P4/mmm
1.0
-1.7868 -1.5995 2.0869
0.7413 -2.7264 -1.4551
5.0193 -0.6592 3.7922
Fe As Te
2 1 1
Direct
0.0000 0.0000 0.5470
0.0000 0.0000 0.9530
0.5000 0.5000 0.7500
0.5000 0.5000 0.2500

FeTe2As | Alexandria via LeMat-Bulk | PBE | relaxed; energy relative to the elements, uncorrected = 0.056 eV per atom; symmetry = Amm2
1.0
-2.9401 1.9172 1.3182
-2.6226 -0.9203 -4.5113
-3.1127 -4.2088 -0.8214
Te Fe As
2 1 1
Direct
0.5000 0.2420 0.2421
0.0000 0.9337 0.9337
0.5000 0.7422 0.7422
0.0000 0.5821 0.5820

Fe2TeAs2 | Alexandria via LeMat-Bulk | PBE | relaxed; energy relative to the elements, uncorrected = 0.250 eV per atom; symmetry = I4/mmm
1.0
3.8061 0.0000 0.0000
0.0000 3.8061 0.0000
1.9030 1.9030 5.7683
Te Fe As
1 2 2
Direct
0.0000 0.0000 0.0000
0.6276 0.6276 0.7448
0.3724 0.3724 0.2552
0.2500 0.7500 0.5000
0.7500 0.2500 0.5000

FeTe2As | Alexandria via LeMat-Bulk | PBE | relaxed; energy relative to the elements, uncorrected = 0.211 eV per atom; symmetry = Imm2
1.0
7.7736 0.3702 0.1943
5.0417 5.9286 -0.1943
-5.7621 -4.4629 2.7360
Te Fe As
2 1 1
Direct
0.0911 0.0911 0.0000
0.7972 0.2972 0.5000
0.2384 0.7384 0.5000
0.3733 0.3733 0.0000

FeTeAs4 | Alexandria via LeMat-Bulk | PBE | relaxed; energy relative to the elements, uncorrected = 0.717 eV per atom; symmetry = F-43m
1.0
0.6294 3.9387 3.9467
-3.6477 0.3194 4.2518
1.5959 -1.4492 5.1806
As Fe Te
4 1 1
Direct
0.3771 0.3771 0.8686
0.3771 0.3771 0.3771
0.8686 0.3771 0.3771
0.3771 0.8686 0.3771
0.7500 0.7500 0.7500
0.0000 0.0000 0.0000

FeTe2As | Alexandria via LeMat-Bulk | PBE | relaxed; energy relative to the elements, uncorrected = 0.260 eV per atom; symmetry = R-3m
1.0
2.1027 0.0000 8.6072
-1.0514 1.8210 8.6072
-1.0514 -1.8210 8.6072
Te As Fe
2 1 1
Direct
0.8890 0.8890 0.8890
0.1110 0.1110 0.1110
0.0000 0.0000 0.0000
0.5000 0.5000 0.5000

FeTe2As | Alexandria via LeMat-Bulk | PBE | relaxed; energy relative to the elements, uncorrected = 0.668 eV per atom; symmetry = F-43m
1.0
-0.3183 -1.9467 -4.5776
-0.6734 -4.9045 -0.5813
-4.3631 -1.7357 -1.6723
As Te Fe
1 2 1
Direct
0.5000 0.5000 0.5000
0.0000 0.0000 0.0000
0.2500 0.2500 0.2500
0.7500 0.7500 0.7500

FeTeAs | Alexandria via LeMat-Bulk | PBE | relaxed; energy relative to the elements, uncorrected = -0.148 eV per atom; symmetry = Pmn2_1
1.0
-2.3533 2.4665 0.3961
-1.2021 -0.3237 -5.1265
-4.2407 -4.2488 1.2627
Fe Te As
2 2 2
Direct
0.5000 0.7675 0.9937
0.0000 0.2325 0.4937
0.5000 0.5585 0.3632
0.0000 0.4415 0.8632
0.0000 0.0388 0.1450
0.5000 0.9612 0.6450

Fe2TeAs | Alexandria via LeMat-Bulk | PBE | relaxed; distance to the lowest polymorph of the same formula = 363 meV per atom; energy relative to the elements, uncorrected = 0.354 eV per atom; symmetry = I-42d
1.0
5.3448 0.0000 0.0000
0.0000 5.3448 0.0000
2.6724 2.6724 5.6477
Fe As Te
4 2 2
Direct
0.3750 0.4078 0.7500
0.8750 0.8422 0.7500
0.1578 0.6250 0.2500
0.5922 0.1250 0.2500
0.2500 0.7500 0.5000
0.5000 0.5000 0.0000
0.0000 0.0000 0.0000
0.7500 0.2500 0.5000

Fe2TeAs | Alexandria via LeMat-Bulk | PBE | relaxed; distance to the lowest polymorph of the same formula = 178 meV per atom; energy relative to the elements, uncorrected = 0.169 eV per atom; symmetry = C2/m
1.0
3.9749 -0.0023 -0.0182
2.5727 3.0300 -0.0182
1.4628 0.6764 5.5782
Fe As Te
2 1 1
Direct
0.5088 0.5088 0.4256
0.9912 0.9912 0.0744
0.2500 0.2500 0.2500
0.7500 0.7500 0.7500

FeTe2As | Alexandria via LeMat-Bulk | PBE | relaxed; energy relative to the elements, uncorrected = 0.561 eV per atom; symmetry = Pmmm
1.0
-1.4207 2.5047 2.6111
3.8781 -3.6707 5.6314
3.0315 2.3196 -0.5757
Te As Fe
2 1 1
Direct
0.5000 0.5000 0.0000
0.0000 0.0000 0.0000
0.5000 0.0000 0.5000
0.0000 0.5000 0.5000

FeTe3As | Alexandria via LeMat-Bulk | PBE | relaxed; distance to the lowest polymorph of the same formula = 0 meV per atom; energy relative to the elements, uncorrected = 0.539 eV per atom; symmetry = Pm-3m
1.0
-4.8180 0.5470 1.3236
-1.4263 -2.2542 -4.2601
0.1300 -4.4591 2.3160
Te Fe As
3 1 1
Direct
0.0000 0.0000 0.5000
0.5000 0.0000 0.0000
0.0000 0.5000 0.0000
0.0000 0.0000 0.0000
0.5000 0.5000 0.5000

FeTeAs | Alexandria via LeMat-Bulk | PBE | relaxed; energy relative to the elements, uncorrected = -0.187 eV per atom; symmetry = P2_1
1.0
6.1278 0.0000 0.0000
0.0000 6.2177 0.0778
0.0000 -2.6287 5.7051
Fe Te As
4 4 4
Direct
0.5075 0.2672 0.0480
0.5075 0.7194 0.4693
0.0075 0.7328 0.9520
0.0075 0.2806 0.5307
0.1351 0.8518 0.3786
0.6351 0.1482 0.6214
0.1389 0.3422 0.9238
0.6389 0.6578 0.0762
0.8608 0.1441 0.1310
0.3608 0.8559 0.8690
0.3540 0.3546 0.4163
0.8540 0.6454 0.5837

Fe2TeAs | Alexandria via LeMat-Bulk | PBE | relaxed; distance to the lowest polymorph of the same formula = 496 meV per atom; energy relative to the elements, uncorrected = 0.487 eV per atom; symmetry = I-4m2
1.0
5.4569 0.4521 0.0000
2.5761 4.8318 0.0000
-4.0165 -2.6419 2.6211
As Te Fe
1 1 2
Direct
0.7500 0.2500 0.5000
0.5000 0.5000 0.0000
0.0000 0.0000 0.0000
0.2500 0.7500 0.5000

FeTeAs | Alexandria via LeMat-Bulk | PBE | relaxed; energy relative to the elements, uncorrected = -0.149 eV per atom; symmetry = P2_1/c
1.0
-1.1808 -3.7494 4.7012
-0.1636 -4.8392 -3.9005
5.5675 -2.8151 -0.8467
Te Fe As
4 4 4
Direct
0.8667 0.3411 0.3222
0.3667 0.6589 0.1778
0.1333 0.6589 0.6778
0.6333 0.3411 0.8222
0.5084 0.7389 0.7835
0.0084 0.2611 0.7165
0.9916 0.7389 0.2835
0.4916 0.2611 0.2165
0.6437 0.8615 0.3842
0.8563 0.8615 0.8842
0.1437 0.1385 0.1158
0.3563 0.1385 0.6158

Fe2TeAs | Alexandria via LeMat-Bulk | PBE | relaxed; distance to the lowest polymorph of the same formula = 679 meV per atom; energy relative to the elements, uncorrected = 0.670 eV per atom; symmetry = F-43m
1.0
4.6027 0.0000 0.0000
2.3013 3.9860 0.0000
2.3013 1.3287 3.7581
As Fe Te
1 2 1
Direct
0.5000 0.5000 0.5000
0.0000 0.0000 0.0000
0.2500 0.2500 0.2500
0.7500 0.7500 0.7500

Fe2TeAs | Alexandria via LeMat-Bulk | PBE | relaxed; distance to the lowest polymorph of the same formula = 0 meV per atom; energy relative to the elements, uncorrected = -0.008 eV per atom; symmetry = Pmm2
1.0
3.4249 0.0000 0.0000
0.0000 3.6794 0.0264
0.0000 -0.0471 6.1613
As Te Fe
1 1 2
Direct
0.5000 0.8749 0.8538
0.0000 0.3751 0.4164
0.0000 0.8749 0.1224
0.5000 0.3751 0.1075

FeTeAs | Alexandria via LeMat-Bulk | PBE | relaxed; energy relative to the elements, uncorrected = 0.054 eV per atom; symmetry = P3m1
1.0
3.6724 0.0000 0.0000
-1.8362 3.1804 0.0000
0.0000 0.0000 5.5006
Fe As Te
1 1 1
Direct
0.6667 0.3333 0.2928
0.0000 0.0000 0.1334
0.3333 0.6667 0.5738

FeTe3As | Alexandria via LeMat-Bulk | PBE | relaxed; distance to the lowest polymorph of the same formula = 753 meV per atom; energy relative to the elements, uncorrected = 1.291 eV per atom; symmetry = Pm-3m
1.0
5.3666 0.0000 0.0000
0.0000 5.3666 0.0000
0.0000 0.0000 5.3666
Te As Fe
3 1 1
Direct
0.0000 0.0000 0.5000
0.5000 0.0000 0.0000
0.0000 0.5000 0.0000
0.0000 0.0000 0.0000
0.5000 0.5000 0.5000

FeTe2As | Alexandria via LeMat-Bulk | PBE | relaxed; energy relative to the elements, uncorrected = 0.556 eV per atom; symmetry = I-4m2
1.0
8.2055 2.4115 0.0000
5.0643 6.8919 0.0000
-6.6349 -4.6517 2.7359
Te As Fe
2 1 1
Direct
0.0000 0.0000 0.0000
0.2500 0.7500 0.5000
0.5000 0.5000 0.0000
0.7500 0.2500 0.5000

Fe2TeAs | Alexandria via LeMat-Bulk | PBE | relaxed; distance to the lowest polymorph of the same formula = 114 meV per atom; energy relative to the elements, uncorrected = 0.105 eV per atom; symmetry = R3m
1.0
-3.2114 -2.9786 -4.6361
-0.9766 -5.5905 -2.9105
-4.2997 -4.5308 -1.2894
Fe As Te
2 1 1
Direct
0.9841 0.9841 0.9841
0.2779 0.2779 0.2779
0.7059 0.7059 0.7059
0.5322 0.5322 0.5322

FeTe2As | Alexandria via LeMat-Bulk | PBE | relaxed; energy relative to the elements, uncorrected = 0.265 eV per atom; symmetry = P4mm
1.0
3.4368 0.0000 0.0000
0.0000 3.4368 0.0000
0.0000 0.0000 7.7191
Fe As Te
1 1 2
Direct
0.5000 0.5000 0.6902
0.0000 0.0000 0.5649
0.0000 0.0000 0.9175
0.5000 0.5000 0.3274

FeTe2As | Alexandria via LeMat-Bulk | PBE | relaxed; energy relative to the elements, uncorrected = 0.191 eV per atom; symmetry = Immm
1.0
-1.8384 -0.4397 -6.9851
3.5996 -0.3971 -6.2650
-1.3470 -2.2823 6.7336
Te As Fe
2 1 1
Direct
0.4015 0.4015 0.0000
0.0985 0.0985 0.0000
0.7500 0.2500 0.5000
0.2500 0.7500 0.5000

Th4FeTe2As | Alexandria via LeMat-Bulk | PBE | relaxed; energy relative to the elements, uncorrected = -0.930 eV per atom; symmetry = P2/m
1.0
-3.4841 2.0409 0.7393
-4.0010 -6.1884 -1.7722
1.4885 -0.2466 7.6962
Th Fe As Te
4 1 1 2
Direct
0.0000 0.2945 0.8053
0.0000 0.7055 0.1947
0.5000 0.2501 0.2127
0.5000 0.7499 0.7873
0.5000 0.5000 0.0000
0.0000 0.0000 0.0000
0.5000 0.0000 0.5000
0.0000 0.5000 0.5000

ThFeAs | Alexandria via LeMat-Bulk | PBE | relaxed; symmetry = P6_222; formation energy = 1.20 kcal/mol of atoms
1.0
6.2068 0.0000 0.0000
-3.1034 5.3753 0.0000
0.0000 0.0000 11.7329
Th Fe As
6 6 6
Direct
0.5000 0.5000 0.7320
0.0000 0.5000 0.0653
0.5000 0.0000 0.9347
0.5000 0.5000 0.2680
0.5000 0.0000 0.3987
0.0000 0.5000 0.6013
0.3945 0.7890 0.1667
0.6055 0.3945 0.5000
0.7890 0.3945 0.8333
0.6055 0.2110 0.1667
0.3945 0.6055 0.5000
0.2110 0.6055 0.8333
0.5000 0.5000 0.0000
0.5000 0.0000 0.6667
0.0000 0.5000 0.3333
0.0000 0.0000 0.1667
0.0000 0.0000 0.8333
0.0000 0.0000 0.5000

Th2FeAs | Alexandria via LeMat-Bulk | PBE | relaxed; symmetry = R-3m; formation energy = 2.43 kcal/mol of atoms
1.0
3.7731 0.0000 0.0000
1.8865 3.2676 0.0000
1.8865 1.0892 8.8732
As Th Fe
1 2 1
Direct
0.5000 0.5000 0.5000
0.9075 0.9075 0.2774
0.0925 0.0925 0.7226
0.0000 0.0000 0.0000

no.,V (Å³/f.u.),total magnetization (Bohr magnetons per cell)
1,55.5,0.00
2,63.9,3.95
3,87.2,0.00
4,83.6,0.00
5,116.9,2.66
6,124.9,3.23
7,98.9,0.85
8,87.6,2.80
9,55.5,1.25
10,80.7,0.00
11,67.3,3.78
12,116.5,3.50
13,127.0,2.40
14,54.7,0.00
15,66.1,4.44
16,54.7,0.00
17,68.9,5.38
18,77.6,3.27
19,64.2,0.00
20,154.6,0.46
21,121.3,3.66
22,76.6,3.88
23,91.2,2.13
24,99.3,2.45
25,232.5,0.00
26,65.2,6.29
27,109.4,1.05